# 1
{"formula": "K2NaNi", "functional": "PBE-GGA", "state": "optimized geometry", "lattice_angstrom": [[6.922, 0.000, 0.000], [0.000, 6.922, 0.000], [3.461, 3.461, 8.452]], "species": ["K", "K", "K", "K", "Na", "Na", "Ni", "Ni"], "fractional_positions": [[0.375, 0.279, 0.750], [0.721, 0.125, 0.250], [0.875, 0.971, 0.750], [0.029, 0.625, 0.250], [0.500, 0.500, 0.000], [0.250, 0.750, 0.500], [0.750, 0.250, 0.500], [0.000, 0.000, 0.000]], "relative_energy_mev_per_atom": 252.0}


# 2
{"formula": "KNaNi2", "functional": "PBE-GGA", "state": "optimized geometry", "lattice_angstrom": [[-1.333, -3.218, -3.627], [-4.805, -1.405, -0.474], [-2.715, 1.609, -3.915]], "species": ["Ni", "Ni", "Na", "K"], "fractional_positions": [[0.250, 0.250, 0.250], [0.750, 0.750, 0.750], [0.000, 0.000, 0.000], [0.500, 0.500, 0.500]], "relative_energy_mev_per_atom": 242.4}


# 3
{"formula": "KNa3Ni", "functional": "PBE-GGA", "state": "optimized geometry", "lattice_angstrom": [[5.581, 0.000, 0.000], [0.000, 5.581, 0.000], [0.000, 0.000, 5.581]], "species": ["Na", "Na", "Na", "K", "Ni"], "fractional_positions": [[0.500, 0.000, 0.000], [0.000, 0.000, 0.500], [0.000, 0.500, 0.000], [0.500, 0.500, 0.500], [0.000, 0.000, 0.000]], "relative_energy_mev_per_atom": 0.0}


# 4
{"formula": "K2NaNi", "functional": "PBE-GGA", "state": "optimized geometry", "lattice_angstrom": [[0.000, 4.128, 4.128], [4.128, 0.000, 4.128], [4.128, 4.128, 0.000]], "species": ["K", "K", "Ni", "Na"], "fractional_positions": [[0.750, 0.750, 0.750], [0.250, 0.250, 0.250], [0.500, 0.500, 0.500], [0.000, 0.000, 0.000]], "relative_energy_mev_per_atom": 0.0}


# 5
{"formula": "KNa2Ni", "functional": "PBE-GGA", "state": "optimized geometry", "lattice_angstrom": [[-3.343, 3.370, 0.452], [-2.600, -2.125, -3.386], [-8.014, -5.407, 6.189]], "species": ["Na", "Na", "Na", "Na", "K", "K", "Ni", "Ni"], "fractional_positions": [[0.677, 0.125, 0.250], [0.375, 0.323, 0.750], [0.073, 0.625, 0.250], [0.875, 0.927, 0.750], [0.500, 0.500, 0.000], [0.250, 0.750, 0.500], [0.000, 0.000, 0.000], [0.750, 0.250, 0.500]], "relative_energy_mev_per_atom": 88.1}


# 6
{"formula": "KNa3Ni", "functional": "PBE-GGA", "state": "optimized geometry", "lattice_angstrom": [[-0.325, -3.986, -4.395], [5.062, 2.110, -2.287], [3.095, -3.870, 3.280]], "species": ["Na", "Na", "Na", "Ni", "K"], "fractional_positions": [[0.500, 0.000, 0.000], [0.000, 0.500, 0.000], [0.000, 0.000, 0.500], [0.500, 0.500, 0.500], [0.000, 0.000, 0.000]], "relative_energy_mev_per_atom": 728.1}


# 7
{"formula": "K3NaNi", "functional": "PBE-GGA", "state": "optimized geometry", "lattice_angstrom": [[6.292, 0.000, 0.000], [0.000, 6.292, 0.000], [0.000, 0.000, 6.292]], "species": ["Na", "K", "K", "K", "Ni"], "fractional_positions": [[0.500, 0.500, 0.500], [0.000, 0.500, 0.000], [0.000, 0.000, 0.500], [0.500, 0.000, 0.000], [0.000, 0.000, 0.000]], "relative_energy_mev_per_atom": 0.0}


# 8
{"formula": "KNaNi2", "functional": "PBE-GGA", "state": "optimized geometry", "lattice_angstrom": [[4.621, 0.000, 0.000], [0.000, 4.621, 0.000], [2.311, 2.311, 9.882]], "species": ["K", "K", "Ni", "Ni", "Ni", "Ni", "Na", "Na"], "fractional_positions": [[0.000, 0.000, 0.000], [0.750, 0.250, 0.500], [0.875, 0.654, 0.750], [0.346, 0.625, 0.250], [0.404, 0.125, 0.250], [0.375, 0.596, 0.750], [0.500, 0.500, 0.000], [0.250, 0.750, 0.500]], "relative_energy_mev_per_atom": 0.0}


# 9
{"formula": "KNa2Ni", "functional": "PBE-GGA", "state": "optimized geometry", "lattice_angstrom": [[-3.285, 2.365, 3.579], [-5.348, -0.105, -0.761], [-3.126, -3.023, 3.206]], "species": ["Ni", "Na", "Na", "K"], "fractional_positions": [[0.500, 0.500, 0.500], [0.750, 0.750, 0.750], [0.250, 0.250, 0.250], [0.000, 0.000, 0.000]], "relative_energy_mev_per_atom": 0.0}


no.,magnetic moment (μB/f.u.),volume (Å³ per atom),Fermi-level density of states (states/eV/cell)
1,0.0,50.6,9.45
2,1.1,22.5,4.78
3,0.0,34.8,3.10
4,0.0,35.2,6.42
5,0.0,31.2,4.34
6,0.0,42.0,3.69
7,0.0,49.8,3.19
8,1.0,26.4,6.82
9,0.2,27.9,4.75